*a*
4
Lattice="-2.707 -1.290 -3.958 2.119 -2.442 -3.769 -1.109 -4.774 -0.802" Properties=species:S:1:pos:R:3 comment="TaCdSb2 meta-GGA SCAN single point on PBEsol structure" spacegroup="No. 225" magmom_total_mub_per_fu=0.0 pbc="T T T"
Sb -0.424 -2.127 -2.132
Sb -1.273 -6.380 -6.397
Cd 0.000 0.000 0.000
Ta -0.848 -4.253 -4.265

***

*b*
4
Lattice="-1.675 0.733 -2.475 3.766 -0.834 -2.795 -1.650 -5.621 -0.546" Properties=species:S:1:pos:R:3 comment="TaCdSb2 meta-GGA SCAN single point on PBEsol structure" spacegroup="No. 6" magmom_total_mub_per_fu=0.0 pbc="T T T"
Sb -1.593 -5.425 -0.528
Sb 0.561 -1.694 -2.799
Cd -0.225 -4.392 -3.053
Ta -0.777 -2.643 -0.258

***

*c*
4
Lattice="3.129 0.000 0.000 1.565 2.710 0.000 1.565 0.903 10.770" Properties=species:S:1:pos:R:3 comment="TaCdSb2 meta-GGA SCAN single point on PBEsol structure" spacegroup="No. 160" magmom_total_mub_per_fu=0.0 pbc="T T T"
Sb 4.694 2.710 0.320
Sb 4.694 2.710 7.628
Cd 1.565 0.903 2.912
Ta 3.129 1.807 5.295

***

Which one sits at the top of the stability order? *c* does.

***

*a*
4
Lattice="-2.780 0.606 -2.115 1.505 -3.290 -2.919 -1.817 -1.835 4.833" Properties=species:S:1:pos:R:3 comment="Ta2CdSb meta-GGA SCAN single point on PBEsol structure" spacegroup="No. 44" magmom_total_mub_per_fu=0.0 pbc="T T T"
Sb -2.573 -1.229 0.059
Cd -0.646 -1.352 -2.510
Ta -3.056 -4.473 -0.236
Ta -0.546 -3.326 -0.235

***

*b*
4
Lattice="3.042 0.000 0.000 1.521 2.634 0.000 1.521 0.878 9.599" Properties=species:S:1:pos:R:3 comment="Ta2CdSb meta-GGA SCAN single point on PBEsol structure" spacegroup="No. 166" magmom_total_mub_per_fu=0.0 pbc="T T T"
Sb 0.000 0.000 0.000
Cd 3.042 1.756 4.799
Ta 1.521 0.878 2.363
Ta 4.562 2.634 7.236

***

Which one sits at the top of the stability order? *a* does.

***

*a*
4
Lattice="3.231 0.000 0.010 0.000 5.249 0.000 -0.017 0.000 6.246" Properties=species:S:1:pos:R:3 comment="Cd2SbTe meta-GGA SCAN single point on PBEsol structure" spacegroup="No. 6" magmom_total_mub_per_fu=0.0 pbc="T T T"
Sb 2.014 0.000 3.578
Te 0.404 2.624 1.170
Cd 0.384 0.000 6.169
Cd 2.001 2.624 4.712

***

*b*
4
Lattice="5.190 0.000 0.000 2.595 4.495 0.000 2.595 1.498 4.237" Properties=species:S:1:pos:R:3 comment="Cd2SbTe meta-GGA SCAN single point on PBEsol structure" spacegroup="No. 225" magmom_total_mub_per_fu=0.0 pbc="T T T"
Sb 0.000 0.000 0.000
Te 5.190 2.996 2.119
Cd 2.595 1.498 1.059
Cd 7.785 4.495 3.178

***

Which one sits at the top of the stability order? *a* does.

***

*a*
3
Lattice="5.008 0.000 0.000 2.504 4.337 0.000 2.504 1.446 4.089" Properties=species:S:1:pos:R:3 comment="TlCdSb meta-GGA SCAN single point on PBEsol structure" spacegroup="No. 216" magmom_total_mub_per_fu=0.0 pbc="T T T"
Sb 5.008 2.891 2.044
Tl 2.504 1.446 1.022
Cd 0.000 0.000 0.000

***

*b*
12
Lattice="-3.817 0.237 3.079 5.052 -0.159 6.276 0.419 8.380 -0.126" Properties=species:S:1:pos:R:3 comment="TlCdSb meta-GGA SCAN single point on PBEsol structure" spacegroup="No. 62" magmom_total_mub_per_fu=0.0 pbc="T T T"
Tl -0.873 1.593 0.753
Tl 2.527 6.865 8.476
Tl 1.710 2.635 3.874
Tl -0.055 5.823 5.355
Cd -1.114 0.862 4.424
Cd 0.107 4.962 1.708
Cd 1.548 3.496 7.521
Cd 2.769 7.596 4.805
Sb 0.897 7.621 2.482
Sb -1.635 3.562 3.570
Sb 3.290 4.896 5.659
Sb 0.758 0.837 6.747

***

Which one sits at the top of the stability order? *b* does.

***

*a*
4
Lattice="-3.281 -0.373 -0.416 0.493 -5.443 0.990 -0.946 2.485 5.236" Properties=species:S:1:pos:R:3 comment="TlCdSb2 meta-GGA SCAN single point on PBEsol structure" spacegroup="No. 10" magmom_total_mub_per_fu=0.0 pbc="T T T"
Sb 0.000 0.000 0.000
Sb -1.394 -2.908 0.287
Tl -2.113 1.056 2.410
Cd -0.226 -1.479 3.113

***

*b*
4
Lattice="-2.456 2.172 -0.769 -3.112 -1.127 -0.620 -4.261 1.296 9.891" Properties=species:S:1:pos:R:3 comment="TlCdSb2 meta-GGA SCAN single point on PBEsol structure" spacegroup="No. 166" magmom_total_mub_per_fu=0.0 pbc="T T T"
Sb -2.400 0.563 1.879
Sb -7.429 1.778 6.624
Tl -4.914 1.170 4.251
Cd 0.000 0.000 0.000

***

Which one sits at the top of the stability order? *b* does.

***

*a*
4
Lattice="4.269 0.000 0.000 0.000 4.553 0.000 0.000 0.000 5.085" Properties=species:S:1:pos:R:3 comment="TlCd2Sb meta-GGA SCAN single point on PBEsol structure" spacegroup="No. 47" magmom_total_mub_per_fu=0.0 pbc="T T T"
Sb 2.135 2.276 0.000
Tl 2.135 0.000 2.542
Cd 0.000 0.000 0.000
Cd 0.000 2.276 2.542

***

*b*
4
Lattice="3.190 0.000 0.000 0.000 5.489 0.000 -1.595 -2.745 5.709" Properties=species:S:1:pos:R:3 comment="TlCd2Sb meta-GGA SCAN single point on PBEsol structure" spacegroup="No. 44" magmom_total_mub_per_fu=0.0 pbc="T T T"
Sb 0.000 0.000 5.470
Tl 0.000 2.745 2.867
Cd 0.000 0.000 0.272
Cd 1.595 0.000 2.810

***

Which one sits at the top of the stability order? *a* does.

***

*a*
4
Lattice="-1.371 -2.516 -1.481 2.876 -0.880 -1.166 1.064 -3.822 5.510" Properties=species:S:1:pos:R:3 comment="CdSbW2 meta-GGA SCAN single point on PBEsol structure" spacegroup="No. 123" magmom_total_mub_per_fu=0.0 pbc="T T T"
Sb 1.285 -3.609 1.431
W 0.777 -2.792 4.024
W 0.287 -1.030 1.485
Cd 0.753 -1.698 -1.323

***

*b*
4
Lattice="2.924 0.000 0.000 0.000 5.112 0.072 0.000 -1.964 4.720" Properties=species:S:1:pos:R:3 comment="CdSbW2 meta-GGA SCAN single point on PBEsol structure" spacegroup="No. 65" magmom_total_mub_per_fu=0.0 pbc="T T T"
Sb 1.462 1.574 2.396
W 0.000 2.556 0.036
W 0.000 -0.982 2.360
Cd 1.462 0.000 0.000

***

*c*
4
Lattice="-2.535 -1.863 -0.742 2.536 -1.958 -3.748 2.062 -1.758 4.407" Properties=species:S:1:pos:R:3 comment="CdSbW2 meta-GGA SCAN single point on PBEsol structure" spacegroup="No. 8" magmom_total_mub_per_fu=0.0 pbc="T T T"
Sb 2.408 -2.952 -0.817
W 2.575 -2.101 -3.524
W -0.260 -2.644 0.485
Cd 1.939 -3.511 2.188

***

*d*
4
Lattice="4.668 0.000 0.000 2.334 4.042 0.000 2.334 1.347 3.811" Properties=species:S:1:pos:R:3 comment="CdSbW2 meta-GGA SCAN single point on PBEsol structure" spacegroup="No. 216" magmom_total_mub_per_fu=0.0 pbc="T T T"
Sb 2.334 1.347 0.953
W 0.000 0.000 0.000
W 7.002 4.042 2.858
Cd 4.668 2.695 1.906

***

Which one sits at the top of the stability order? *c* does.

***

*a*
4
Lattice="-3.667 -3.350 -0.360 1.040 -4.864 0.231 -1.354 -2.648 3.994" Properties=species:S:1:pos:R:3 comment="ZnCd2Sb meta-GGA SCAN single point on PBEsol structure" spacegroup="No. 216" magmom_total_mub_per_fu=0.0 pbc="T T T"
Cd 0.000 0.000 0.000
Cd -2.986 -8.147 2.898
Sb -1.991 -5.431 1.932
Zn -0.995 -2.716 0.966

***

*b*
4
Lattice="3.352 0.005 0.000 -0.140 4.753 0.000 -1.606 -2.379 5.453" Properties=species:S:1:pos:R:3 comment="ZnCd2Sb meta-GGA SCAN single point on PBEsol structure" spacegroup="No. 12" magmom_total_mub_per_fu=0.0 pbc="T T T"
Cd -0.803 -1.190 2.727
Cd 0.803 1.190 2.727
Sb 0.000 0.000 0.000
Zn 1.606 2.379 0.000

***

Which one sits at the top of the stability order? *b* does.

***

*a*
9
Lattice="4.598 0.000 0.000 2.299 6.436 0.000 2.299 0.000 6.436" Properties=species:S:1:pos:R:3 comment="Sc4Cd5 meta-GGA SCAN single point on PBEsol structure" spacegroup="No. 139" magmom_total_mub_per_fu=0.0 pbc="T T T"
Cd 0.000 0.000 0.000
Cd 2.299 0.000 2.146
Cd 2.299 2.146 0.000
Cd 4.598 4.290 0.000
Cd 4.598 0.000 4.290
Sc 2.299 2.105 4.331
Sc 2.299 4.331 2.105
Sc 4.598 4.331 4.331
Sc 4.598 2.105 2.105

***

*b*
18
Lattice="5.993 0.000 0.000 0.000 8.561 0.000 0.000 -4.281 7.414" Properties=species:S:1:pos:R:3 comment="Sc4Cd5 meta-GGA SCAN single point on PBEsol structure" spacegroup="No. 193" magmom_total_mub_per_fu=0.0 pbc="T T T"
Cd 4.495 -2.930 5.075
Cd 4.495 5.860 0.000
Cd 4.495 1.351 2.339
Cd 1.498 -1.351 2.339
Cd 1.498 2.701 0.000
Cd 1.498 2.930 5.075
Cd 0.000 0.000 4.943
Cd 2.997 4.281 2.471
Cd 0.000 4.281 2.471
Cd 2.997 0.000 4.943
Sc 0.000 0.000 0.000
Sc 2.997 0.000 0.000
Sc 4.495 -1.498 2.594
Sc 4.495 2.996 0.000
Sc 4.495 2.783 4.820
Sc 1.498 -2.783 4.820
Sc 1.498 5.566 0.000
Sc 1.498 1.498 2.594

***

Which one sits at the top of the stability order? *b* does.

***

*a*
8
Lattice="6.184 0.000 0.000 3.092 5.356 0.000 3.092 1.785 5.049" Properties=species:S:1:pos:R:3 comment="ScCd7 meta-GGA SCAN single point on PBEsol structure" spacegroup="No. 225" magmom_total_mub_per_fu=0.0 pbc="T T T"
Cd 4.638 0.893 2.525
Cd 3.092 0.000 0.000
Cd 1.546 0.893 2.525
Cd 4.638 2.678 0.000
Cd 3.092 3.570 2.525
Cd 1.546 2.678 0.000
Cd 6.184 3.570 2.525
Sc 0.000 0.000 0.000

***

*b*
16
Lattice="6.128 -0.001 0.000 -1.865 5.838 0.000 0.000 0.000 9.212" Properties=species:S:1:pos:R:3 comment="ScCd7 meta-GGA SCAN single point on PBEsol structure" spacegroup="No. 63" magmom_total_mub_per_fu=0.0 pbc="T T T"
Cd -0.730 2.346 2.303
Cd 4.993 3.490 6.909
Cd 1.806 5.818 2.303
Cd 2.457 0.018 6.909
Cd 0.446 4.150 0.160
Cd 3.817 1.687 4.766
Cd 0.446 4.150 4.447
Cd 3.817 1.687 9.053
Cd 3.361 4.601 0.000
Cd 0.903 1.236 4.606
Cd 0.903 1.236 0.000
Cd 3.361 4.601 4.606
Cd -1.180 5.337 2.303
Cd 5.444 0.499 6.909
Sc 2.307 2.790 2.303
Sc 1.957 3.046 6.909

***

Which one sits at the top of the stability order? *b* does.

***

*a*
6
Lattice="-1.159 -1.298 2.730 1.781 -4.622 -3.360 6.240 2.054 3.626" Properties=species:S:1:pos:R:3 comment="Sc5Cd meta-GGA SCAN single point on PBEsol structure" spacegroup="No. 8" magmom_total_mub_per_fu=1.5 pbc="T T T"
Sc 2.629 -3.560 -0.576
Sc 1.930 -1.766 1.900
Sc 3.929 0.591 1.949
Sc 5.038 -2.185 1.100
Sc 5.817 -0.912 3.956
Cd 6.843 -3.807 3.015

***

*b*
6
Lattice="-2.611 -0.866 1.786 0.967 -4.827 -0.927 6.049 0.084 5.871" Properties=species:S:1:pos:R:3 comment="Sc5Cd meta-GGA SCAN single point on PBEsol structure" spacegroup="No. 38" magmom_total_mub_per_fu=1.1 pbc="T T T"
Sc 2.597 -2.569 2.550
Sc 3.199 -0.235 4.562
Sc -0.363 -2.880 1.084
Sc 0.313 -0.552 3.202
Sc 2.854 -3.117 5.671
Cd 0.003 0.000 0.004

***

*c*
6
Lattice="-1.553 -1.374 3.892 -3.020 -2.485 -2.082 2.917 -6.535 -1.144" Properties=species:S:1:pos:R:3 comment="Sc5Cd meta-GGA SCAN single point on PBEsol structure" spacegroup="No. 65" magmom_total_mub_per_fu=1.3 pbc="T T T"
Sc -0.783 -3.726 0.870
Sc 1.486 -4.825 -1.111
Sc -0.776 -0.687 1.946
Sc -1.589 -4.195 -2.115
Sc -0.872 -6.668 -0.204
Cd -1.510 -1.242 -1.041

***

Which one sits at the top of the stability order? *c* does.